A relaxed structure of Be2TeSe, computed with PBE.

The structure in CIF format:
```
data_Be2TeSe
_cell_length_a 3.6175
_cell_length_b 3.6175
_cell_length_c 6.3966
_cell_angle_alpha 73.47
_cell_angle_beta 73.47
_cell_angle_gamma 59.86
_space_group_name_H-M_alt 'P 1'
_space_group_IT_number 1
loop_
_space_group_symop_operation_xyz
'x,y,z'
loop_
_atom_site_label
_atom_site_type_symbol
_atom_site_fract_x
_atom_site_fract_y
_atom_site_fract_z
_atom_site_occupancy
Te1 Te 0.2500 0.2500 0.2500 1
Be1 Be 0.0099 0.0099 0.9772 1
Be2 Be 0.4901 0.4901 0.5228 1
Se1 Se 0.7500 0.7500 0.7500 1
```

Output
The value obtained for the uncorrected formation energy is -21.0 meV per atom. As for the space-group type: C2/m (12). For the polymorph energy (0 for the lowest one), the calculation gives 539.1 meV/atom. As for the density of states at the Fermi level: 0.27 states/eV per atom.